(1)
Entry from Alexandria via LeMat-Bulk: an optimized crystal structure of LiCaGaAu2 (PBE).

Computed properties:
E ... -3.33 eV/atom
Space-group type ... I-4m2, No. 119
Density ... 8.27 Mg/m³

Cell: 6.870 6.870 6.870 Å, 145.69 145.69 49.30°
Fractional coordinates of all 5 atoms:
1 Li 0.000 0.000 0.000
2 Ca 0.250 0.750 0.500
3 Ga 0.500 0.500 0.000
4 Au 0.638 0.138 0.500
5 Au 0.862 0.362 0.500


(2)
Entry from Alexandria via LeMat-Bulk: an optimized crystal structure of LiCaGa4Au2 (PBE).

Computed properties:
E ... -3.22 eV/atom
Space-group type ... R-3m, No. 166
Density ... 7.69 Mg/m³

Cell: 9.618 9.618 9.618 Å, 26.44 26.44 26.44°
Fractional coordinates of all 8 atoms:
1 Li 0.000 0.000 0.000
2 Ca 0.500 0.500 0.500
3 Ga 0.103 0.103 0.103
4 Ga 0.375 0.375 0.375
5 Ga 0.625 0.625 0.625
6 Ga 0.897 0.897 0.897
7 Au 0.271 0.271 0.271
8 Au 0.729 0.729 0.729


(3)
Entry from Alexandria via LeMat-Bulk: an optimized crystal structure of CaLuGaAu (PBE).

Computed properties:
E ... -3.85 eV/atom
Space-group type ... F-43m, No. 216
Density ... 8.74 Mg/m³

Cell: 5.059 5.059 5.059 Å, 60.00 60.00 60.00°
Fractional coordinates of all 4 atoms:
1 Ca 0.000 0.000 0.000
2 Lu 0.500 0.500 0.500
3 Ga 0.750 0.750 0.750
4 Au 0.250 0.250 0.250


Energy of formation from the pure elements, respectively: -0.631 -0.402 -0.644 eV per atom.